The following is a PBE calculation of a relaxed structure of RbNa2HBr, from the Alexandria database.

V: 158.7 Å³ per cell
Raw total energy: -2.25 eV per atom

Lattice parameters (Å, degrees): 4.8207 4.8207 6.8281 90.00 90.00 90.00
Closest atoms and distances in Å follow each position.
Sites, in units of the cell vectors:
Rb: 0.0000 0.0000 0.0000  4 Br 3.41, 2 H 3.41
Na: 0.0000 0.5000 0.5000  2 H 2.41
Na: 0.5000 0.0000 0.5000  2 H 2.41
H: 0.0000 0.0000 0.5000  4 Na 2.41
Br: 0.5000 0.5000 0.0000  4 Rb 3.41